[1]
Here is a relaxed structure of Pr6ZnCl8 from Alexandria via LeMat-Bulk. Energies are from PBE-GGA.

Total energy: -4.6121 eV per atom
E_form (uncorrected): -1.63 eV/atom
DOS at the Fermi energy: 0.263 states/eV per atom

Lattice parameters (Å, degrees): 7.115 7.115 11.136 71.37 71.37 60.00
Positions (direct):
Pr 0.945 0.618 0.164
Pr 0.728 0.055 0.836
Pr 0.382 0.728 0.836
Pr 0.618 0.272 0.164
Pr 0.272 0.945 0.164
Pr 0.055 0.382 0.836
Zn 0.000 0.000 0.000
Cl 0.781 0.437 0.673
Cl 0.891 0.219 0.327
Cl 0.563 0.891 0.327
Cl 0.333 0.333 0.000
Cl 0.667 0.667 0.000
Cl 0.437 0.109 0.673
Cl 0.109 0.781 0.673
Cl 0.219 0.563 0.327

[2]
Here is a relaxed structure of Pr4ZnCl5 from Alexandria via LeMat-Bulk. Energies are from PBE-GGA.

Total energy: -4.5326 eV per atom
E_form (uncorrected): -1.57 eV/atom
DOS at the Fermi energy: 0.378 states/eV per atom

Lattice parameters (Å, degrees): 4.021 8.721 11.297 125.80 100.25 90.00
Positions (direct):
Pr 0.659 0.232 0.319
Pr 0.000 0.758 0.000
Pr 0.341 0.768 0.681
Pr 0.000 0.242 0.000
Zn 0.500 0.000 0.000
Cl 0.165 0.007 0.331
Cl 0.170 0.494 0.340
Cl 0.830 0.506 0.660
Cl 0.500 0.500 0.000
Cl 0.835 0.993 0.669